No. 1
Hf2ZrMo after structural relaxation. Source: Alexandria, functional PBE.

Summary:
* density: 10974 kg/m³
* crystal system: tetragonal
* magnetic moment: 0.00 Bohr magnetons per cell
* formation energy: -1.2 kJ per mole of atoms
* energy above the lowest structure with this stoichiometry: 0.0000 eV/atom

Geometry as CIF:
```
data_Hf2ZrMo
_cell_length_a 3.360
_cell_length_b 3.360
_cell_length_c 7.292
_cell_angle_alpha 90.00
_cell_angle_beta 90.00
_cell_angle_gamma 90.00
_space_group_name_H-M_alt 'P 4/m m m'
_space_group_IT_number 123
_space_group_name_Hall '-P 4 2'
loop_
_atom_site_label
_atom_site_type_symbol
_atom_site_fract_x
_atom_site_fract_y
_atom_site_fract_z
Hf1 Hf 0.000 0.000 0.215
Zr1 Zr 0.500 0.500 0.500
Mo1 Mo 0.500 0.500 0.000
```


No. 2
Na6Hg5Pd after structural relaxation. Source: Alexandria, functional PBE.

Summary:
* density: 7098 kg/m³
* crystal system: monoclinic
* magnetic moment: 0.00 Bohr magnetons per cell
* formation energy: -19.2 kJ per mole of atoms

Geometry as CIF:
```
data_Na6Hg5Pd
_cell_length_a 14.888
_cell_length_b 8.897
_cell_length_c 4.621
_cell_angle_alpha 90.00
_cell_angle_beta 107.56
_cell_angle_gamma 90.00
_space_group_name_H-M_alt 'C 1 2/m 1'
_space_group_IT_number 12
loop_
_space_group_symop_operation_xyz
'x,y,z'
'-x,-y,-z'
'-x,y,-z'
'x,-y,z'
'x+1/2,y+1/2,z'
'-x+1/2,-y+1/2,-z'
'-x+1/2,y+1/2,-z'
'x+1/2,-y+1/2,z'
loop_
_atom_site_label
_atom_site_type_symbol
_atom_site_fract_x
_atom_site_fract_y
_atom_site_fract_z
Na1 Na 0.000 0.249 0.000
Na2 Na 0.164 0.243 0.664
Hg1 Hg 0.000 0.500 0.500
Hg2 Hg 0.147 0.000 0.149
Hg3 Hg 0.169 0.500 0.167
Pd1 Pd 0.000 0.000 0.500
```


No. 3
YMgTiTl2 after structural relaxation. Source: Alexandria, functional PBE.

Summary:
* density: 6784 kg/m³
* crystal system: tetragonal
* magnetic moment: 2.43 Bohr magnetons per cell
* formation energy: 56.5 kJ per mole of atoms

Geometry as CIF:
```
data_YMgTiTl2
_cell_length_a 5.219
_cell_length_b 5.219
_cell_length_c 5.121
_cell_angle_alpha 90.00
_cell_angle_beta 90.00
_cell_angle_gamma 90.00
_space_group_name_H-M_alt 'P 4/m m m'
_space_group_IT_number 123
_space_group_name_Hall '-P 4 2'
loop_
_atom_site_label
_atom_site_type_symbol
_atom_site_fract_x
_atom_site_fract_y
_atom_site_fract_z
Y1 Y 0.000 0.000 0.000
Mg1 Mg 0.500 0.500 0.500
Ti1 Ti 0.500 0.500 0.000
Tl1 Tl 0.000 0.500 0.500
```


No. 4
KAcPm2 after structural relaxation. Source: Alexandria, functional PBE.

Summary:
* density: 5442 kg/m³
* crystal system: trigonal
* magnetic moment: 0.00 Bohr magnetons per cell
* formation energy: 22.6 kJ per mole of atoms

Geometry as CIF:
```
data_KAcPm2
_cell_length_a 3.7695
_cell_length_b 3.7695
_cell_length_c 41.3672
_cell_angle_alpha 90.00
_cell_angle_beta 90.00
_cell_angle_gamma 120.00
_space_group_name_H-M_alt 'R -3 m'
_space_group_IT_number 166
_space_group_name_Hall '-R 3 2"'
loop_
_atom_site_label
_atom_site_type_symbol
_atom_site_fract_x
_atom_site_fract_y
_atom_site_fract_z
K1 K 0.0000 0.0000 0.0000
Ac1 Ac 0.0000 0.0000 0.5000
Pm1 Pm 0.0000 0.0000 0.0937
```


No. 5
PS5Cl after structural relaxation. Source: Alexandria, functional PBE.

Summary:
* density: 1581 kg/m³
* crystal system: triclinic
* magnetic moment: 0.00 Bohr magnetons per cell
* formation energy without anion corrections: -0.17 eV/atom

Geometry as CIF:
```
data_PS5Cl
_cell_length_a 6.262
_cell_length_b 6.866
_cell_length_c 7.022
_cell_angle_alpha 102.26
_cell_angle_beta 110.85
_cell_angle_gamma 112.58
_space_group_name_H-M_alt 'P 1'
_space_group_IT_number 1
loop_
_space_group_symop_operation_xyz
'x,y,z'
loop_
_atom_site_label
_atom_site_type_symbol
_atom_site_fract_x
_atom_site_fract_y
_atom_site_fract_z
P1 P 0.000 0.000 0.000
S1 S 0.095 0.001 0.768
S2 S 0.282 0.050 0.317
S3 S 0.436 0.577 0.610
S4 S 0.554 0.395 0.438
S5 S 0.676 0.685 0.943
Cl1 Cl 0.898 0.246 0.077
```


No. 6
TlSnBiF2 after structural relaxation. Source: Alexandria, functional PBE.

Summary:
* density: 7293 kg/m³
* crystal system: tetragonal
* magnetic moment: 0.00 Bohr magnetons per cell
* formation energy without anion corrections: -1.23 eV/atom

Geometry as CIF:
```
data_TlSnBiF2
_cell_length_a 4.577
_cell_length_b 4.577
_cell_length_c 6.195
_cell_angle_alpha 90.00
_cell_angle_beta 90.00
_cell_angle_gamma 90.00
_space_group_name_H-M_alt 'P 4/m m m'
_space_group_IT_number 123
_space_group_name_Hall '-P 4 2'
loop_
_atom_site_label
_atom_site_type_symbol
_atom_site_fract_x
_atom_site_fract_y
_atom_site_fract_z
Tl1 Tl 0.000 0.000 0.000
Sn1 Sn 0.500 0.500 0.500
Bi1 Bi 0.500 0.500 0.000
F1 F 0.000 0.500 0.500
```


No. 7
Cs3Pm3HfTe8 after structural relaxation. Source: Alexandria, functional PBE.

Summary:
* density: 5252 kg/m³
* crystal system: trigonal
* magnetic moment: 0.00 Bohr magnetons per cell
* formation energy without anion corrections: -1.28 eV/atom

Geometry as CIF:
```
data_Cs3Pm3HfTe8
_cell_length_a 9.0006
_cell_length_b 9.0006
_cell_length_c 27.4907
_cell_angle_alpha 90.00
_cell_angle_beta 90.00
_cell_angle_gamma 120.00
_space_group_name_H-M_alt 'R -3 m'
_space_group_IT_number 166
_space_group_name_Hall '-R 3 2"'
loop_
_atom_site_label
_atom_site_type_symbol
_atom_site_fract_x
_atom_site_fract_y
_atom_site_fract_z
Cs1 Cs 0.0000 0.5000 0.0000
Pm1 Pm 0.0000 0.5000 0.5000
Hf1 Hf 0.0000 0.0000 0.5000
Te1 Te 0.0000 0.0000 0.2318
Te2 Te 0.0223 0.5112 0.2282
```


No. 8
Ba3CrRh after structural relaxation. Source: Alexandria, functional PBE.

Summary:
* density: 4321 kg/m³
* crystal system: cubic
* magnetic moment: 4.80 Bohr magnetons per cell
* formation energy: 30.5 kJ per mole of atoms
* energy above the lowest structure with this stoichiometry: 0.0000 eV/atom

Geometry as CIF:
```
data_Ba3CrRh
_cell_length_a 6.017
_cell_length_b 6.017
_cell_length_c 6.017
_cell_angle_alpha 90.00
_cell_angle_beta 90.00
_cell_angle_gamma 90.00
_space_group_name_H-M_alt 'P m -3 m'
_space_group_IT_number 221
_space_group_name_Hall '-P 4 2 3'
loop_
_atom_site_label
_atom_site_type_symbol
_atom_site_fract_x
_atom_site_fract_y
_atom_site_fract_z
Ba1 Ba 0.000 0.000 0.500
Cr1 Cr 0.500 0.500 0.500
Rh1 Rh 0.000 0.000 0.000
```